Here is crystalline Sm8Er3Tm4 at its relaxed geometry from the Alexandria database. Energies are from GGA-PBE.

Cell lengths 6.784, 9.261, 9.261 Å; angles 86.98, 111.57, 111.57 degrees
Atoms (fractional coordinates):
Sm 0.003 0.733 0.733
Sm 0.500 0.752 0.248
Sm 0.000 0.351 0.649
Sm 0.477 0.734 0.734
Sm 0.523 0.266 0.266
Sm 0.000 0.649 0.351
Sm 0.500 0.248 0.752
Sm 0.997 0.267 0.267
Tm 0.000 0.000 0.000
Tm 0.000 0.500 0.000
Tm 0.000 0.000 0.500
Tm 0.500 0.000 0.000
Er 0.500 0.500 0.000
Er 0.500 0.500 0.500
Er 0.500 0.000 0.500

Summary:
- Energy relative to the elements: 0.3953 eV per atom
- Density of states at the Fermi level: 29.06 states/eV per cell
- Space group: C2/m
- Magnetic moment: 0.00 μB/cell